w:
VASP calculation (GGA-PBE) on La2Pm2Tm3 after structural relaxation.

Calculated values
The total moment comes out at 0.000 μB per formula unit.

Lattice parameters (Å, degrees): 6.348 6.176 12.991 90.00 90.00 111.54
Positions (direct):
La 0.630 0.405 0.820
La 0.130 0.405 0.680
La 0.870 0.595 0.320
La 0.370 0.595 0.180
Pm 0.636 0.895 0.708
Pm 0.136 0.895 0.792
Pm 0.864 0.105 0.208
Pm 0.364 0.105 0.292
Tm 0.000 0.000 0.500
Tm 0.500 0.000 0.000
Tm 0.882 0.674 0.048
Tm 0.618 0.326 0.548
Tm 0.382 0.674 0.452
Tm 0.118 0.326 0.952

x:
VASP calculation (GGA-PBE) on La2Pm2Tm3 after structural relaxation.

Calculated values
The total moment comes out at 0.000 μB per formula unit.

Lattice parameters (Å, degrees): 6.528 11.337 6.420 90.00 84.68 90.00
Positions (direct):
La 0.769 0.725 0.887
La 0.269 0.775 0.887
La 0.731 0.225 0.113
La 0.231 0.275 0.113
Pm 0.539 0.347 0.550
Pm 0.961 0.847 0.450
Pm 0.039 0.153 0.550
Pm 0.461 0.653 0.450
Tm 0.500 0.500 0.000
Tm 0.000 0.000 0.000
Tm 0.546 0.038 0.744
Tm 0.954 0.538 0.256
Tm 0.046 0.462 0.744
Tm 0.454 0.962 0.256

It is w that is the least stable of them.

w:
VASP calculation (GGA-PBE) on La5Pm2Tm2 after structural relaxation.

Calculated values
The total moment comes out at 0.000 μB per formula unit.

Lattice parameters (Å, degrees): 12.975 6.340 10.507 107.56 128.13 90.00
Positions (direct):
La 0.246 0.733 0.897
La 0.754 0.836 0.103
La 0.151 0.233 0.897
La 0.849 0.336 0.103
La 0.327 0.097 0.288
La 0.673 0.809 0.712
La 0.462 0.597 0.288
La 0.538 0.309 0.712
La 0.079 0.793 0.500
La 0.921 0.293 0.500
Pm 0.184 0.586 0.267
Pm 0.816 0.319 0.733
Pm 0.583 0.086 0.267
Pm 0.417 0.819 0.733
Tm 0.000 0.892 0.000
Tm 0.500 0.392 0.000
Tm 0.191 0.271 0.500
Tm 0.809 0.771 0.500

x:
VASP calculation (GGA-PBE) on La5Pm2Tm2 after structural relaxation.

Calculated values
The total moment comes out at 0.000 μB per formula unit.

Lattice parameters (Å, degrees): 6.380 6.382 14.253 57.96 132.65 132.16
Positions (direct):
La 0.445 0.666 0.111
La 0.555 0.334 0.889
La 0.222 0.332 0.554
La 0.778 0.668 0.446
La 0.000 0.000 0.000
Pm 0.670 0.998 0.668
Pm 0.330 0.002 0.332
Tm 0.108 0.668 0.776
Tm 0.892 0.332 0.224

It is w that is the least stable of them.

w:
VASP calculation (GGA-PBE) on La3Pm8Tm2 after structural relaxation.

Calculated values
The total moment comes out at 0.000 μB per formula unit.

Lattice parameters (Å, degrees): 6.226 8.928 8.928 83.12 73.04 73.04
Positions (direct):
La 0.500 0.000 0.000
La 0.000 0.238 0.762
La 0.000 0.762 0.238
Pm 0.212 0.557 0.557
Pm 0.788 0.443 0.443
Pm 0.953 0.160 0.160
Pm 0.047 0.840 0.840
Pm 0.677 0.568 0.080
Pm 0.677 0.080 0.568
Pm 0.323 0.920 0.432
Pm 0.323 0.432 0.920
Tm 0.363 0.290 0.290
Tm 0.637 0.710 0.710

x:
VASP calculation (GGA-PBE) on La3Pm8Tm2 after structural relaxation.

Calculated values
The total moment comes out at 0.000 μB per formula unit.

Lattice parameters (Å, degrees): 5.797 7.775 10.960 110.79 90.01 90.00
Positions (direct):
La 0.500 0.000 0.000
La 0.000 0.294 0.000
La 0.000 0.706 0.000
Pm 0.000 0.676 0.353
Pm 0.000 0.324 0.647
Pm 0.000 0.136 0.273
Pm 0.000 0.864 0.727
Pm 0.500 0.599 0.780
Pm 0.500 0.182 0.780
Pm 0.500 0.818 0.220
Pm 0.500 0.401 0.220
Tm 0.500 0.241 0.482
Tm 0.500 0.759 0.518

It is x that is the least stable of them.

w:
VASP calculation (GGA-PBE) on La3Pm2Tm after structural relaxation.

Calculated values
The total moment comes out at 0.000 μB per formula unit.

Lattice parameters (Å, degrees): 6.378 6.378 11.945 90.00 90.00 120.00
Positions (direct):
La 0.669 0.669 0.750
La 0.000 0.331 0.750
La 0.331 0.000 0.750
La 0.331 0.331 0.250
La 0.000 0.669 0.250
La 0.669 0.000 0.250
Pm 0.667 0.333 0.000
Pm 0.333 0.667 0.500
Pm 0.333 0.667 0.000
Pm 0.667 0.333 0.500
Tm 0.000 0.000 0.000
Tm 0.000 0.000 0.500

x:
VASP calculation (GGA-PBE) on La3Pm2Tm after structural relaxation.

Calculated values
The total moment comes out at 0.000 μB per formula unit.

Lattice parameters (Å, degrees): 3.675 10.368 10.999 89.64 90.00 90.00
Positions (direct):
La 0.750 0.122 0.584
La 0.250 0.878 0.416
La 0.750 0.624 0.250
La 0.250 0.376 0.750
La 0.250 0.370 0.086
La 0.750 0.630 0.914
Pm 0.250 0.371 0.416
Pm 0.750 0.629 0.584
Pm 0.750 0.120 0.916
Pm 0.250 0.880 0.084
Tm 0.250 0.876 0.750
Tm 0.750 0.124 0.250

It is w that is the least stable of them.

w:
VASP calculation (GGA-PBE) on La2Pm3Tm3 after structural relaxation.

Calculated values
The total moment comes out at 0.000 μB per formula unit.

Lattice parameters (Å, degrees): 5.107 5.138 10.803 103.76 103.67 90.00
Positions (direct):
La 0.750 0.250 0.501
La 0.250 0.750 0.499
Pm 0.622 0.622 0.243
Pm 0.378 0.378 0.757
Pm 0.500 0.000 0.000
Tm 0.122 0.122 0.244
Tm 0.000 0.500 0.000
Tm 0.878 0.878 0.756

x:
VASP calculation (GGA-PBE) on La2Pm3Tm3 after structural relaxation.

Calculated values
The total moment comes out at 0.000 μB per formula unit.

Lattice parameters (Å, degrees): 3.624 9.076 16.945 90.00 90.00 101.51
Positions (direct):
La 0.784 0.569 0.650
La 0.216 0.431 0.150
La 0.784 0.569 0.850
La 0.216 0.431 0.350
Pm 0.642 0.284 0.983
Pm 0.358 0.716 0.483
Pm 0.642 0.284 0.517
Pm 0.358 0.716 0.017
Pm 0.391 0.782 0.250
Pm 0.609 0.218 0.750
Tm 0.007 0.015 0.101
Tm 0.993 0.985 0.601
Tm 0.007 0.015 0.399
Tm 0.993 0.985 0.899
Tm 0.576 0.153 0.250
Tm 0.424 0.847 0.750

It is x that is the least stable of them.

w:
VASP calculation (GGA-PBE) on La2Pm7Tm3 after structural relaxation.

Calculated values
The total moment comes out at 0.000 μB per formula unit.

Lattice parameters (Å, degrees): 3.660 5.824 19.445 98.61 90.00 90.00
Positions (direct):
La 0.000 0.851 0.702
La 0.000 0.149 0.298
Pm 0.000 0.411 0.821
Pm 0.000 0.768 0.537
Pm 0.000 0.000 0.000
Pm 0.000 0.589 0.179
Pm 0.500 0.071 0.142
Pm 0.500 0.929 0.858
Pm 0.000 0.232 0.463
Tm 0.500 0.500 0.000
Tm 0.500 0.686 0.373
Tm 0.500 0.314 0.627

x:
VASP calculation (GGA-PBE) on La2Pm7Tm3 after structural relaxation.

Calculated values
The total moment comes out at 0.000 μB per formula unit.

Lattice parameters (Å, degrees): 3.573 6.467 18.206 75.20 90.00 90.00
Positions (direct):
La 0.500 0.611 0.330
La 0.500 0.389 0.670
Pm 0.500 0.237 0.504
Pm 0.500 0.763 0.496
Pm 0.000 0.558 0.163
Pm 0.000 0.000 0.000
Pm 0.000 0.442 0.837
Pm 0.500 0.939 0.831
Pm 0.500 0.061 0.169
Tm 0.500 0.500 0.000
Tm 0.000 0.112 0.342
Tm 0.000 0.888 0.658

It is w that is the least stable of them.

w:
VASP calculation (GGA-PBE) on LaPm3Tm4 after structural relaxation.

Calculated values
The total moment comes out at 0.003 μB per formula unit.

Lattice parameters (Å, degrees): 6.277 7.300 11.470 90.00 90.00 90.00
Positions (direct):
La 0.144 0.375 0.000
La 0.644 0.625 0.500
Pm 0.648 0.630 0.000
Pm 0.983 0.630 0.251
Pm 0.483 0.370 0.249
Pm 0.148 0.370 0.500
Pm 0.483 0.370 0.751
Pm 0.983 0.630 0.749
Tm 0.149 0.880 0.000
Tm 0.647 0.119 0.000
Tm 0.981 0.120 0.251
Tm 0.481 0.880 0.249
Tm 0.147 0.881 0.500
Tm 0.649 0.120 0.500
Tm 0.481 0.880 0.751
Tm 0.981 0.120 0.749

x:
VASP calculation (GGA-PBE) on LaPm3Tm4 after structural relaxation.

Calculated values
The total moment comes out at 0.000 μB per formula unit.

Lattice parameters (Å, degrees): 3.595 6.215 11.752 100.25 90.00 90.00
Positions (direct):
Pm 0.000 0.000 0.500
Pm 0.500 0.500 0.500
Pm 0.000 0.500 0.000
Tm 0.000 0.749 0.748
Tm 0.500 0.250 0.749
Tm 0.000 0.251 0.252
Tm 0.500 0.750 0.251
La 0.500 0.000 0.000

It is w that is the least stable of them.

w:
VASP calculation (GGA-PBE) on LaPm12Tm7 after structural relaxation.

Calculated values
The total moment comes out at 3.402 μB per formula unit.

Lattice parameters (Å, degrees): 8.835 8.835 8.835 98.21 98.21 98.21
Positions (direct):
La 0.000 0.000 0.000
Pm 0.763 0.237 0.500
Pm 0.763 0.500 0.237
Pm 0.359 0.091 0.359
Pm 0.909 0.641 0.641
Pm 0.500 0.237 0.763
Pm 0.641 0.641 0.909
Pm 0.359 0.359 0.091
Pm 0.500 0.763 0.237
Pm 0.091 0.359 0.359
Pm 0.641 0.909 0.641
Pm 0.237 0.500 0.763
Pm 0.237 0.763 0.500
Tm 0.101 0.659 0.101
Tm 0.341 0.899 0.899
Tm 0.899 0.899 0.341
Tm 0.500 0.500 0.500
Tm 0.101 0.101 0.659
Tm 0.659 0.101 0.101
Tm 0.899 0.341 0.899

x:
VASP calculation (GGA-PBE) on LaPm12Tm7 after structural relaxation.

Calculated values
The total moment comes out at 0.001 μB per formula unit.

Lattice parameters (Å, degrees): 9.969 9.969 9.969 109.47 109.47 109.47
Positions (direct):
La 0.000 0.000 0.000
Pm 0.484 0.727 0.757
Pm 0.970 0.727 0.243
Pm 0.516 0.273 0.243
Pm 0.030 0.273 0.757
Pm 0.757 0.030 0.273
Pm 0.757 0.484 0.727
Pm 0.243 0.970 0.727
Pm 0.243 0.516 0.273
Pm 0.727 0.757 0.484
Pm 0.273 0.243 0.516
Pm 0.727 0.243 0.970
Pm 0.273 0.757 0.030
Tm 0.500 0.500 0.000
Tm 0.000 0.500 0.500
Tm 0.500 0.000 0.500
Tm 0.500 0.500 0.500
Tm 0.000 0.000 0.500
Tm 0.500 0.000 0.000
Tm 0.000 0.500 0.000

It is x that is the least stable of them.

w:
VASP calculation (GGA-PBE) on LaPm2Tm4 after structural relaxation.

Calculated values
The total moment comes out at 0.007 μB per formula unit.

Lattice parameters (Å, degrees): 6.837 6.837 6.837 122.94 103.19 103.19
Positions (direct):
Pm 0.500 0.250 0.750
Pm 0.500 0.750 0.250
Tm 0.000 0.304 0.696
Tm 0.000 0.696 0.304
Tm 0.608 0.304 0.304
Tm 0.392 0.696 0.696
La 0.000 0.000 0.000

x:
VASP calculation (GGA-PBE) on LaPm2Tm4 after structural relaxation.

Calculated values
The total moment comes out at 0.000 μB per formula unit.

Lattice parameters (Å, degrees): 10.077 8.464 9.010 137.28 109.15 88.28
Positions (direct):
La 0.184 0.661 0.694
La 0.175 0.294 0.138
Pm 0.574 0.382 0.787
Pm 0.587 0.016 0.247
Pm 0.672 0.345 0.158
Pm 0.069 0.331 0.771
Tm 0.899 0.099 0.217
Tm 0.428 0.665 0.234
Tm 0.853 0.584 0.715
Tm 0.792 0.000 0.688
Tm 0.213 0.001 0.278
Tm 0.318 0.008 0.679
Tm 0.540 0.684 0.656
Tm 0.947 0.682 0.236

It is w that is the least stable of them.

w:
VASP calculation (GGA-PBE) on La2PmTm5 after structural relaxation.

Calculated values
The total moment comes out at 0.000 μB per formula unit.

Lattice parameters (Å, degrees): 8.493 7.283 7.266 120.15 129.76 89.93
Positions (direct):
La 0.230 0.685 0.371
La 0.721 0.263 0.525
Pm 0.213 0.176 0.353
Tm 0.722 0.267 0.029
Tm 0.222 0.180 0.858
Tm 0.722 0.763 0.030
Tm 0.222 0.678 0.859
Tm 0.725 0.765 0.528

x:
VASP calculation (GGA-PBE) on La2PmTm5 after structural relaxation.

Calculated values
The total moment comes out at 0.000 μB per formula unit.

Lattice parameters (Å, degrees): 3.608 9.938 9.472 121.64 112.47 90.00
Positions (direct):
La 0.496 0.748 0.496
La 0.504 0.252 0.504
Pm 0.000 0.000 0.000
Tm 0.000 0.500 0.000
Tm 0.744 0.374 0.244
Tm 0.256 0.626 0.756
Tm 0.744 0.870 0.244
Tm 0.256 0.130 0.756

It is x that is the least stable of them.